1.
The following is a GGA-PBE calculation of a geometry-optimized Na4Ag3Cl8 structure, from Alexandria.

CIF file:
```
data_Na4Ag3Cl8
_chemical_formula_sum 'Na8 Ag6 Cl16'
_cell_length_a 10.823
_cell_length_b 11.015
_cell_length_c 7.879
_cell_angle_alpha 90.00
_cell_angle_beta 132.67
_cell_angle_gamma 90.00
_symmetry_space_group_name_H-M 'C 1 2/m 1'
_symmetry_Int_Tables_number 12
loop_
_symmetry_equiv_pos_as_xyz
'x,y,z'
'-x,-y,-z'
'-x,y,-z'
'x,-y,z'
'x+1/2,y+1/2,z'
'-x+1/2,-y+1/2,-z'
'-x+1/2,y+1/2,-z'
'x+1/2,-y+1/2,z'
loop_
_atom_site_label
_atom_site_type_symbol
_atom_site_fract_x
_atom_site_fract_y
_atom_site_fract_z
_atom_site_occupancy
Na1 Na 0.000 0.000 0.000 1
Na2 Na 0.000 0.500 0.500 1
Na3 Na 0.250 0.250 0.000 1
Ag1 Ag 0.000 0.500 0.000 1
Ag2 Ag 0.250 0.250 0.500 1
Cl1 Cl 0.000 0.249 0.500 1
Cl2 Cl 0.000 0.250 0.000 1
Cl3 Cl 0.228 0.500 0.979 1
Cl4 Cl 0.242 0.000 0.492 1
```

E: -91.21 eV for the cell shown
D(E_F): 0.511 states/eV/atom
Total moment: 0.5 μB per cell



2.
The following is a GGA-PBE calculation of a geometry-optimized Pm8Te4P3N structure, from Alexandria.

CIF file:
```
data_Pm8Te4P3N
_chemical_formula_sum 'Pm24 Te12 P9 N3'
_cell_length_a 8.2928
_cell_length_b 8.2928
_cell_length_c 21.7184
_cell_angle_alpha 90.00
_cell_angle_beta 90.00
_cell_angle_gamma 120.00
_symmetry_space_group_name_H-M 'R -3 m'
_symmetry_Int_Tables_number 166
_symmetry_space_group_name_Hall '-R 3 2"'
loop_
_atom_site_label
_atom_site_type_symbol
_atom_site_fract_x
_atom_site_fract_y
_atom_site_fract_z
_atom_site_occupancy
Pm1 Pm 0.0000 0.0000 0.2375 1
Pm2 Pm 0.0193 0.5097 0.2340 1
Te1 Te 0.0000 0.0000 0.0000 1
Te2 Te 0.0000 0.5000 0.0000 1
P1 P 0.0000 0.5000 0.5000 1
N1 N 0.0000 0.0000 0.5000 1
```

E: -297.10 eV for the cell shown
D(E_F): 0.350 states/eV/atom
Total moment: 0.0 μB per cell



What is the D(E_F) in the first record? 0.511 states/eV/atom